The following is a DFT calculation (PBE) of a relaxed structure of LaErAg2.

Space group: P4/mmm
E_tot: -16.4 eV for the cell shown

Structure (POSCAR):
```
LaErAg2
1.0
-1.275 -3.215 1.170
1.255 0.722 3.352
-6.672 3.298 1.788
La Ag Er
1 2 1
Cartesian
-3.346 0.403 3.155
-5.204 2.572 1.394
-1.468 0.726 0.393
-0.010 -1.246 2.261
```

The following is a DFT calculation (PBE) of a relaxed structure of SnBiAs.

Space group: P-1
Relative energy among the computed polymorphs: 0.0 meV per atom

Structure (POSCAR):
```
SnBiAs
1.0
-3.716 -0.446 -1.694
-2.077 -3.507 0.452
-10.487 7.504 6.023
Sn Bi As
2 2 2
Cartesian
-7.681 0.206 1.829
-8.599 3.345 2.951
-13.913 4.532 4.329
-2.367 -0.981 0.451
-5.163 1.015 1.077
-11.117 2.535 3.703
```

The following is a DFT calculation (PBE) of a relaxed structure of AgTeCl2.

Space group: R-3m
Relative energy among the computed polymorphs: 289.5 meV per atom
Energy relative to the elements, uncorrected: -5.0 kJ/mol of atoms

Structure (POSCAR):
```
AgTeCl2
1.0
-3.415 -8.122 0.500
-0.981 -8.525 -2.061
-0.016 -8.720 1.356
Te Ag Cl
1 1 2
Cartesian
-1.103 -6.342 -0.051
-3.309 -19.025 -0.153
-0.069 -0.397 -0.003
-2.137 -12.286 -0.099
```

The following is a DFT calculation (PBE) of a relaxed structure of Ho2Sn3Hg3.

Space group: Pmmm
E_tot: -25.4 eV for the cell shown

Structure (POSCAR):
```
Ho2Sn3Hg3
1.0
-4.389 0.588 1.641
-1.694 -1.895 -3.850
0.351 -8.171 3.867
Ho Sn Hg
2 3 3
Cartesian
0.262 -6.103 2.888
0.089 -2.068 0.979
-2.019 -3.791 2.754
-0.847 -0.947 -1.925
-0.671 -5.033 0.008
-2.776 -6.829 1.818
-2.956 -2.648 -0.160
-2.195 0.294 0.821
```

The following is a DFT calculation (PBE) of a relaxed structure of Cs2Hg3Au3.

Space group: P6_3/mcm
E_tot: -27.4 eV for the cell shown

Structure (POSCAR):
```
Cs2Hg3Au3
1.0
10.608 0.000 0.000
0.000 7.203 4.158
0.000 0.000 8.317
Cs Hg Au
4 6 6
Cartesian
0.000 2.401 4.158
5.304 4.802 8.316
0.000 4.802 8.316
5.304 2.401 4.158
7.956 0.000 5.992
7.956 5.189 5.321
7.956 2.014 1.162
2.652 0.000 2.325
2.652 2.014 7.154
2.652 5.189 2.995
7.956 0.000 3.127
7.956 2.708 6.753
7.956 4.495 2.595
2.652 0.000 5.190
2.652 4.495 5.721
2.652 2.708 1.563
```

The following is a DFT calculation (PBE) of a relaxed structure of MnCr2H6.

Space group: Immm
E_tot: -48.2 eV for the cell shown

Structure (POSCAR):
```
MnCr2H6
1.0
2.776 -0.001 -0.898
-0.606 3.596 -1.875
0.088 0.295 5.020
Mn Cr H
1 2 6
Cartesian
0.000 0.000 0.000
0.778 1.389 2.412
1.480 2.501 -0.165
2.323 0.507 2.447
0.236 1.599 0.731
-0.065 3.383 -0.200
1.237 0.892 -0.915
2.022 2.292 1.516
0.932 2.703 -1.859
```